The following is a PBE+U calculation of a geometry-optimized Na2PmWO6 structure, from Alexandria via LeMat-Bulk.

Properties
DFT total energy: -132.1 eV/cell
Fermi-level density of states: 14.77 states/eV/cell

Unit cell a=5.751 b=5.925 c=8.244 alpha=90.00 beta=90.01 gamma=90.00
Site moments in Bohr magnetons follow the coordinates.
Fractional coordinates of all 20 atoms:
O 0.675 0.272 0.557  0.18
O 0.225 0.181 0.455  0.14
O 0.403 0.963 0.725  0.16
O 0.175 0.228 0.057  0.18
O 0.325 0.728 0.443  0.18
O 0.725 0.319 0.955  0.14
O 0.097 0.463 0.775  0.16
O 0.825 0.772 0.943  0.18
O 0.275 0.681 0.045  0.14
O 0.597 0.037 0.275  0.16
O 0.775 0.819 0.545  0.14
O 0.903 0.537 0.225  0.16
Na 0.009 0.963 0.255  0.00
Na 0.491 0.463 0.245  0.00
Na 0.509 0.537 0.755  0.00
Na 0.991 0.037 0.745  0.00
Pm 0.500 0.000 0.000  -0.01
Pm 0.000 0.500 0.500  -0.01
W 0.000 0.500 0.000  -0.09
W 0.500 0.000 0.500  -0.09